Record 1
A relaxed structure of CoPt, computed with PBE.

Unit cell a=3.517 b=3.517 c=3.517 alpha=60.00 beta=60.00 gamma=60.00
Atoms (fractional coordinates):
Co (0.000, 0.000, 0.000)
Pt (0.500, 0.500, 0.500)

Values from the calculation:
Calculated volume ... 31 Å³/cell
Symmetry ... No. 225
Formation energy ... 0.5662 eV per atom



Record 2
A relaxed structure of CoPt4, computed with PBE.

Unit cell a=10.014 b=10.014 c=10.014 alpha=164.24 beta=164.24 gamma=22.36
Atoms (fractional coordinates):
Co (0.000, 0.000, 0.000)
Pt (0.197, 0.197, 0.000)
Pt (0.409, 0.409, 0.000)
Pt (0.591, 0.591, 0.000)
Pt (0.803, 0.803, 0.000)

Values from the calculation:
Calculated volume ... 74 Å³/cell
Energy relative to the lowest polymorph listed for this composition ... 0.0 meV/atom
Symmetry ... No. 139
Formation energy ... -0.0813 eV per atom



Record 3
A relaxed structure of CoPt, computed with PBE.

Unit cell a=8.756 b=8.756 c=8.756 alpha=17.76 beta=17.76 gamma=17.76
Atoms (fractional coordinates):
Co (0.130, 0.130, 0.130)
Co (0.870, 0.870, 0.870)
Pt (0.381, 0.381, 0.381)
Pt (0.619, 0.619, 0.619)

Values from the calculation:
Calculated volume ... 55 Å³/cell
Symmetry ... No. 166
Formation energy ... -0.0442 eV per atom



Record 4
A relaxed structure of Co5Pt, computed with PBE.

Unit cell a=2.611 b=2.611 c=10.425 alpha=90.00 beta=90.00 gamma=90.00
Atoms (fractional coordinates):
Co (0.000, 0.000, 0.000)
Co (0.000, 0.000, 0.315)
Co (0.000, 0.000, 0.685)
Co (0.500, 0.500, 0.159)
Co (0.500, 0.500, 0.841)
Pt (0.500, 0.500, 0.500)

Values from the calculation:
Calculated volume ... 71 Å³/cell
Symmetry ... No. 123
Formation energy ... 0.0035 eV per atom



Record 5
A relaxed structure of Co5Pt, computed with PBE.

Unit cell a=4.653 b=4.653 c=4.034 alpha=90.00 beta=90.00 gamma=120.00
Atoms (fractional coordinates):
Co (0.000, 0.500, 0.000)
Co (0.333, 0.667, 0.500)
Co (0.500, 0.000, 0.000)
Co (0.500, 0.500, 0.000)
Co (0.667, 0.333, 0.500)
Pt (0.000, 0.000, 0.500)

Values from the calculation:
Calculated volume ... 76 Å³/cell
Symmetry ... No. 191
Formation energy ... 0.2486 eV per atom



Record 6
A relaxed structure of Co24Pt5, computed with PBE.

Unit cell a=7.641 b=7.641 c=7.641 alpha=109.47 beta=109.47 gamma=109.47
Atoms (fractional coordinates):
Co (0.000, 0.325, 0.609)
Co (0.000, 0.609, 0.325)
Co (0.000, 0.625, 0.808)
Co (0.000, 0.808, 0.625)
Co (0.183, 0.375, 0.375)
Co (0.192, 0.192, 0.817)
Co (0.192, 0.817, 0.192)
Co (0.284, 0.675, 0.675)
Co (0.325, 0.000, 0.609)
Co (0.325, 0.609, 0.000)
Co (0.375, 0.183, 0.375)
Co (0.375, 0.375, 0.183)
Co (0.391, 0.391, 0.716)
Co (0.391, 0.716, 0.391)
Co (0.609, 0.000, 0.325)
Co (0.609, 0.325, 0.000)
Co (0.625, 0.000, 0.808)
Co (0.625, 0.808, 0.000)
Co (0.675, 0.284, 0.675)
Co (0.675, 0.675, 0.284)
Co (0.716, 0.391, 0.391)
Co (0.808, 0.000, 0.625)
Co (0.808, 0.625, 0.000)
Co (0.817, 0.192, 0.192)
Pt (0.000, 0.000, 0.000)
Pt (0.000, 0.000, 0.369)
Pt (0.000, 0.369, 0.000)
Pt (0.369, 0.000, 0.000)
Pt (0.631, 0.631, 0.631)

Values from the calculation:
Calculated volume ... 343 Å³/cell
Symmetry ... No. 217
Formation energy ... -0.0296 eV per atom



Record 7
A relaxed structure of CoPt3, computed with PBE.

Unit cell a=2.748 b=4.529 c=4.757 alpha=90.00 beta=90.00 gamma=90.00
Atoms (fractional coordinates):
Co (0.000, 0.000, 0.000)
Pt (0.000, 0.500, 0.324)
Pt (0.500, 0.000, 0.500)
Pt (0.500, 0.500, 0.833)

Values from the calculation:
Calculated volume ... 59 Å³/cell
Symmetry ... No. 25
Formation energy ... -0.0170 eV per atom



Record 8
A relaxed structure of Co4Pt, computed with PBE.

Unit cell a=4.775 b=4.775 c=4.775 alpha=109.47 beta=109.47 gamma=109.47
Atoms (fractional coordinates):
Co (0.000, 0.000, 0.500)
Co (0.000, 0.500, 0.000)
Co (0.500, 0.000, 0.000)
Co (0.500, 0.500, 0.500)
Pt (0.000, 0.000, 0.000)

Values from the calculation:
Calculated volume ... 84 Å³/cell
Energy relative to the lowest polymorph listed for this composition ... 1053.3 meV/atom
Symmetry ... No. 229
Formation energy ... 1.0141 eV per atom



Record 9
A relaxed structure of Co5Pt, computed with PBE.

Unit cell a=4.858 b=4.858 c=6.018 alpha=104.26 beta=104.26 gamma=31.15
Atoms (fractional coordinates):
Co (0.000, 0.000, 0.000)
Co (0.052, 0.052, 0.589)
Co (0.340, 0.340, 0.650)
Co (0.393, 0.393, 0.276)
Co (0.669, 0.669, 0.333)
Pt (0.721, 0.721, 0.931)

Values from the calculation:
Calculated volume ... 71 Å³/cell
Symmetry ... No. 8
Formation energy ... -0.0179 eV per atom



Record 10
A relaxed structure of Co3Pt, computed with PBE.

Unit cell a=2.633 b=2.633 c=8.274 alpha=90.00 beta=90.00 gamma=120.00
Atoms (fractional coordinates):
Co (0.000, 0.000, 0.000)
Co (0.667, 0.333, 0.233)
Co (0.667, 0.333, 0.767)
Pt (0.000, 0.000, 0.500)

Values from the calculation:
Calculated volume ... 50 Å³/cell
Symmetry ... No. 187
Formation energy ... 0.0156 eV per atom



Record 11
A relaxed structure of Co4Pt, computed with PBE.

Unit cell a=4.566 b=4.566 c=4.566 alpha=90.00 beta=90.00 gamma=90.00
Atoms (fractional coordinates):
Co (0.000, 0.000, 0.000)
Co (0.000, 0.500, 0.500)
Co (0.500, 0.000, 0.500)
Co (0.500, 0.500, 0.000)
Pt (0.500, 0.500, 0.500)

Values from the calculation:
Calculated volume ... 95 Å³/cell
Energy relative to the lowest polymorph listed for this composition ... 1619.7 meV/atom
Symmetry ... No. 221
Formation energy ... 1.5805 eV per atom



Record 12
A relaxed structure of Co4Pt, computed with PBE.

Unit cell a=6.820 b=6.820 c=6.820 alpha=146.44 beta=135.97 gamma=56.47
Atoms (fractional coordinates):
Co (0.000, 0.000, 0.000)
Co (0.213, 0.200, 0.013)
Co (0.313, 0.800, 0.513)
Co (0.361, 0.611, 0.750)
Co (0.500, 0.000, 0.500)
Co (0.639, 0.389, 0.250)
Co (0.687, 0.200, 0.487)
Co (0.787, 0.800, 0.987)
Pt (0.143, 0.393, 0.750)
Pt (0.857, 0.607, 0.250)

Values from the calculation:
Calculated volume ... 121 Å³/cell
Energy relative to the lowest polymorph listed for this composition ... 18.8 meV/atom
Symmetry ... No. 74
Formation energy ... -0.0204 eV per atom



Record 13
A relaxed structure of CoPt3, computed with PBE.

Unit cell a=9.111 b=9.111 c=9.111 alpha=17.34 beta=17.34 gamma=17.34
Atoms (fractional coordinates):
Co (0.000, 0.000, 0.000)
Pt (0.256, 0.256, 0.256)
Pt (0.500, 0.500, 0.500)
Pt (0.744, 0.744, 0.744)

Values from the calculation:
Calculated volume ... 59 Å³/cell
Symmetry ... No. 166
Formation energy ... -0.1011 eV per atom



Record 14
A relaxed structure of Co5Pt7, computed with PBE.

Unit cell a=4.218 b=4.218 c=10.662 alpha=97.61 beta=97.61 gamma=65.21
Atoms (fractional coordinates):
Co (0.000, 0.000, 0.000)
Co (0.006, 0.006, 0.755)
Co (0.335, 0.335, 0.426)
Co (0.665, 0.665, 0.574)
Co (0.994, 0.994, 0.245)
Pt (0.000, 0.000, 0.500)
Pt (0.323, 0.323, 0.184)
Pt (0.328, 0.328, 0.925)
Pt (0.333, 0.333, 0.665)
Pt (0.667, 0.667, 0.335)
Pt (0.672, 0.672, 0.075)
Pt (0.677, 0.677, 0.816)

Values from the calculation:
Calculated volume ... 170 Å³/cell
Energy relative to the lowest polymorph listed for this composition ... 122.2 meV/atom
Symmetry ... No. 12
Formation energy ... 0.0433 eV per atom



Record 15
A relaxed structure of CoPt2, computed with PBE.

Unit cell a=5.325 b=5.325 c=6.350 alpha=104.77 beta=104.77 gamma=29.69
Atoms (fractional coordinates):
Co (0.024, 0.024, 0.305)
Co (0.976, 0.976, 0.695)
Pt (0.320, 0.320, 0.374)
Pt (0.365, 0.365, 0.964)
Pt (0.635, 0.635, 0.036)
Pt (0.680, 0.680, 0.626)

Values from the calculation:
Calculated volume ... 86 Å³/cell
Symmetry ... No. 12
Formation energy ... -0.0606 eV per atom



Record 16
A relaxed structure of CoPt2, computed with PBE.

Unit cell a=7.169 b=7.169 c=4.494 alpha=90.00 beta=90.00 gamma=157.99
Atoms (fractional coordinates):
Co (0.221, 0.779, 0.750)
Co (0.779, 0.221, 0.250)
Pt (0.123, 0.877, 0.250)
Pt (0.441, 0.559, 0.250)
Pt (0.559, 0.441, 0.750)
Pt (0.877, 0.123, 0.750)

Values from the calculation:
Calculated volume ... 87 Å³/cell
Symmetry ... No. 63
Formation energy ... -0.0264 eV per atom



Record 17
A relaxed structure of CoPt2, computed with PBE.

Unit cell a=11.898 b=11.898 c=11.898 alpha=161.38 beta=161.38 gamma=26.46
Atoms (fractional coordinates):
Co (0.289, 0.539, 0.750)
Co (0.461, 0.711, 0.750)
Co (0.539, 0.289, 0.250)
Co (0.711, 0.461, 0.250)
Pt (0.040, 0.790, 0.250)
Pt (0.124, 0.374, 0.750)
Pt (0.210, 0.960, 0.250)
Pt (0.374, 0.124, 0.250)
Pt (0.626, 0.876, 0.750)
Pt (0.790, 0.040, 0.750)
Pt (0.876, 0.626, 0.250)
Pt (0.960, 0.210, 0.750)

Values from the calculation:
Calculated volume ... 172 Å³/cell
Symmetry ... No. 141
Formation energy ... -0.0900 eV per atom



Record 18
A relaxed structure of Co3Pt, computed with PBE.

Unit cell a=4.533 b=8.354 c=5.200 alpha=90.00 beta=90.00 gamma=90.00
Atoms (fractional coordinates):
Co (0.080, 0.250, 0.123)
Co (0.237, 0.504, 0.864)
Co (0.237, 0.996, 0.864)
Co (0.263, 0.004, 0.364)
Co (0.263, 0.496, 0.364)
Co (0.420, 0.750, 0.623)
Co (0.580, 0.250, 0.377)
Co (0.737, 0.504, 0.636)
Co (0.737, 0.996, 0.636)
Co (0.763, 0.004, 0.136)
Co (0.763, 0.496, 0.136)
Co (0.920, 0.750, 0.877)
Pt (0.075, 0.250, 0.612)
Pt (0.425, 0.750, 0.112)
Pt (0.575, 0.250, 0.888)
Pt (0.925, 0.750, 0.388)

Values from the calculation:
Calculated volume ... 197 Å³/cell
Symmetry ... No. 62
Formation energy ... -0.0410 eV per atom



Record 19
A relaxed structure of Co3Pt, computed with PBE.

Unit cell a=5.227 b=5.227 c=4.141 alpha=90.00 beta=90.00 gamma=120.00
Atoms (fractional coordinates):
Co (0.158, 0.316, 0.250)
Co (0.158, 0.842, 0.250)
Co (0.316, 0.158, 0.750)
Co (0.684, 0.842, 0.250)
Co (0.842, 0.158, 0.750)
Co (0.842, 0.684, 0.750)
Pt (0.333, 0.667, 0.750)
Pt (0.667, 0.333, 0.250)

Values from the calculation:
Calculated volume ... 98 Å³/cell
Symmetry ... No. 194
Formation energy ... -0.1048 eV per atom



Record 20
A relaxed structure of CoPt, computed with PBE.

Unit cell a=4.361 b=7.352 c=5.289 alpha=90.00 beta=90.00 gamma=90.00
Atoms (fractional coordinates):
Co (0.250, 0.052, 0.129)
Co (0.250, 0.448, 0.129)
Co (0.250, 0.750, 0.367)
Co (0.750, 0.250, 0.633)
Co (0.750, 0.552, 0.871)
Co (0.750, 0.948, 0.871)
Pt (0.250, 0.064, 0.629)
Pt (0.250, 0.436, 0.629)
Pt (0.250, 0.750, 0.891)
Pt (0.750, 0.250, 0.109)
Pt (0.750, 0.564, 0.371)
Pt (0.750, 0.936, 0.371)

Values from the calculation:
Calculated volume ... 170 Å³/cell
Symmetry ... No. 59
Formation energy ... 0.0561 eV per atom